(1)
! Ce3As2N2, relaxed, DFT PBE; values from VASP
&SYSTEM
  ibrav = 0, nat = 7, ntyp = 3
/
ATOMIC_SPECIES
Ce 140.12 Ce.upf
As 74.92 As.upf
N 14.01 N.upf
CELL_PARAMETERS angstrom
6.188 -1.982 0.000
6.188 1.982 0.000
-3.702 0.000 5.985
ATOMIC_POSITIONS angstrom
Ce 0.000 0.000 0.000
Ce -0.392 0.000 4.473
Ce 9.066 0.000 1.513
As 3.013 0.000 3.914
As 5.661 0.000 2.071
N 2.200 0.000 0.529
N 6.474 0.000 5.457
! * space group: C2/m (12)
! * raw formation energy: -1.382 eV per atom



(2)
! Hf2TlNiH, relaxed, DFT PBE; values from VASP
&SYSTEM
  ibrav = 0, nat = 5, ntyp = 4
/
ATOMIC_SPECIES
Hf 178.49 Hf.upf
Tl 204.38 Tl.upf
Ni 58.69 Ni.upf
H 1.01 H.upf
CELL_PARAMETERS angstrom
4.386 0.000 0.000
0.000 4.386 0.000
0.000 0.000 4.039
ATOMIC_POSITIONS angstrom
Hf 0.000 2.193 0.000
Hf 2.193 0.000 0.000
Tl 0.000 0.000 2.020
Ni 2.193 2.193 2.020
H 2.193 2.193 0.000
! * space group: P4/mmm (123)
! * D(E_F): 5.2 states/eV/f.u.
! * VASP energy: -31.87 eV per cell



(3)
! Ba2ZnSnPd6, relaxed, DFT PBE; values from VASP
&SYSTEM
  ibrav = 0, nat = 10, ntyp = 4
/
ATOMIC_SPECIES
Ba 137.33 Ba.upf
Zn 65.41 Zn.upf
Sn 118.71 Sn.upf
Pd 106.42 Pd.upf
CELL_PARAMETERS angstrom
6.346 -2.873 0.000
6.346 2.873 0.000
-5.904 0.000 6.425
ATOMIC_POSITIONS angstrom
Ba 1.383 0.000 1.835
Ba 5.405 0.000 4.589
Zn 6.346 0.000 0.000
Sn -2.952 0.000 3.212
Pd 4.748 1.393 1.489
Pd -2.117 0.000 5.791
Pd 2.040 1.393 4.935
Pd 4.748 -1.393 1.489
Pd 8.905 0.000 0.634
Pd 2.040 -1.393 4.935
! * space group: C2/m (12)
! * D(E_F): 4.1 states/eV/f.u.
! * energy of formation: -0.534 eV per atom



(4)
! Th12CdAu6, relaxed, DFT PBE; values from VASP
&SYSTEM
  ibrav = 0, nat = 19, ntyp = 3
/
ATOMIC_SPECIES
Th 232.04 Th.upf
Cd 112.41 Cd.upf
Au 196.97 Au.upf
CELL_PARAMETERS angstrom
6.898 3.983 3.567
-6.898 3.983 3.567
0.000 -7.965 3.567
ATOMIC_POSITIONS angstrom
Th -2.629 -3.412 3.567
Th -4.270 -0.570 3.567
Th 0.000 -2.103 1.752
Th -1.821 1.052 1.752
Th 1.821 1.052 1.752
Th -4.270 0.570 7.133
Th -1.641 3.983 3.567
Th -2.629 3.412 7.133
Th 1.641 3.983 3.567
Th -1.821 -1.052 8.948
Th 1.821 -1.052 8.948
Th 0.000 2.103 8.948
Cd 0.000 0.000 5.350
Au -3.770 -2.177 6.187
Au 0.000 -4.353 4.514
Au -3.770 2.177 4.514
Au 3.770 -2.177 6.187
Au 0.000 4.353 6.187
Au 3.770 2.177 4.514
! * space group: R-3m (166)
! * D(E_F): 25.6 states/eV/f.u.
! * energy of formation: -0.088 eV per atom



(5)
! YMnMo4, relaxed, DFT PBE; values from VASP
&SYSTEM
  ibrav = 0, nat = 6, ntyp = 3
/
ATOMIC_SPECIES
Y 88.91 Y.upf
Mn 54.94 Mn.upf
Mo 95.94 Mo.upf
CELL_PARAMETERS angstrom
0.000 3.798 3.798
3.798 0.000 3.798
3.798 3.798 0.000
ATOMIC_POSITIONS angstrom
Y 0.000 0.000 0.000
Mn 5.697 5.697 5.697
Mo 2.847 2.847 2.847
Mo 4.748 4.748 2.847
Mo 4.748 2.847 4.748
Mo 2.847 4.748 4.748
! * space group: F-43m (216)
! * D(E_F): 5.5 states/eV/f.u.
! * energy of formation: 0.313 eV per atom



(6)
! Nb2IrAu, relaxed, DFT PBE; values from VASP
&SYSTEM
  ibrav = 0, nat = 4, ntyp = 3
/
ATOMIC_SPECIES
Nb 92.91 Nb.upf
Ir 192.22 Ir.upf
Au 196.97 Au.upf
CELL_PARAMETERS angstrom
1.426 0.823 10.041
-1.426 0.823 10.041
0.000 -1.646 10.041
ATOMIC_POSITIONS angstrom
Nb 0.000 0.000 2.534
Nb 0.000 0.000 27.589
Ir 0.000 0.000 0.000
Au 0.000 0.000 15.061
! * space group: R-3m (166)
! * D(E_F): 3.1 states/eV/f.u.
! * energy of formation: 0.238 eV per atom



Please write out number 1 again, unchanged.
! Ce3As2N2, relaxed, DFT PBE; values from VASP
&SYSTEM
  ibrav = 0, nat = 7, ntyp = 3
/
ATOMIC_SPECIES
Ce 140.12 Ce.upf
As 74.92 As.upf
N 14.01 N.upf
CELL_PARAMETERS angstrom
6.188 -1.982 0.000
6.188 1.982 0.000
-3.702 0.000 5.985
ATOMIC_POSITIONS angstrom
Ce 0.000 0.000 0.000
Ce -0.392 0.000 4.473
Ce 9.066 0.000 1.513
As 3.013 0.000 3.914
As 5.661 0.000 2.071
N 2.200 0.000 0.529
N 6.474 0.000 5.457
! * space group: C2/m (12)
! * raw formation energy: -1.382 eV per atom



Please write out number 2 again, unchanged.
! Hf2TlNiH, relaxed, DFT PBE; values from VASP
&SYSTEM
  ibrav = 0, nat = 5, ntyp = 4
/
ATOMIC_SPECIES
Hf 178.49 Hf.upf
Tl 204.38 Tl.upf
Ni 58.69 Ni.upf
H 1.01 H.upf
CELL_PARAMETERS angstrom
4.386 0.000 0.000
0.000 4.386 0.000
0.000 0.000 4.039
ATOMIC_POSITIONS angstrom
Hf 0.000 2.193 0.000
Hf 2.193 0.000 0.000
Tl 0.000 0.000 2.020
Ni 2.193 2.193 2.020
H 2.193 2.193 0.000
! * space group: P4/mmm (123)
! * D(E_F): 5.2 states/eV/f.u.
! * VASP energy: -31.87 eV per cell